# KRb4Au3

Crystalline KRb4Au3 at its relaxed geometry (PBE, Alexandria via LeMat-Bulk).

The formation energy is -0.16 eV/atom. Its total energy is -2.0099 eV/atom.

The structure in CIF format:
```
data_KRb4Au3
_space_group_name_H-M_alt 'P 4/m m m'
_space_group_IT_number 123
_space_group_name_Hall '-P 4 2'
_cell_length_a 5.779
_cell_length_b 5.779
_cell_length_c 11.055
_cell_angle_alpha 90.00
_cell_angle_beta 90.00
_cell_angle_gamma 90.00
loop_
_atom_site_label
_atom_site_type_symbol
_atom_site_fract_x
_atom_site_fract_y
_atom_site_fract_z
K1 K 0.000 0.000 0.000
Rb1 Rb 0.000 0.500 0.302
Au1 Au 0.000 0.000 0.500
Au2 Au 0.500 0.500 0.125
```

# Sr2GaPd3

Crystalline Sr2GaPd3 at its relaxed geometry (PBE, Alexandria via LeMat-Bulk).

The formation energy is -0.42 eV/atom. Its total energy is -4.0801 eV/atom.

The structure in CIF format:
```
data_Sr2GaPd3
_space_group_name_H-M_alt 'I m m m'
_space_group_IT_number 71
_space_group_name_Hall '-I 2 2'
_cell_length_a 4.386
_cell_length_b 5.671
_cell_length_c 11.763
_cell_angle_alpha 90.00
_cell_angle_beta 90.00
_cell_angle_gamma 90.00
loop_
_atom_site_label
_atom_site_type_symbol
_atom_site_fract_x
_atom_site_fract_y
_atom_site_fract_z
Sr1 Sr 0.000 0.000 0.183
Ga1 Ga 0.000 0.000 0.500
Pd1 Pd 0.000 0.500 0.114
Pd2 Pd 0.000 0.500 0.500
```

# Sc2TeSe

Crystalline Sc2TeSe at its relaxed geometry (PBE, Alexandria via LeMat-Bulk).

For the formation energy without anion corrections, the calculation gives -1303 meV/atom. Its total energy is -6.1255 eV/atom.

The structure in CIF format:
```
data_Sc2TeSe
_space_group_name_H-M_alt 'I m m 2'
_space_group_IT_number 44
_cell_length_a 3.738
_cell_length_b 3.749
_cell_length_c 13.182
_cell_angle_alpha 90.00
_cell_angle_beta 90.00
_cell_angle_gamma 90.00
loop_
_space_group_symop_operation_xyz
'x,y,z'
'-x,-y,z'
'-x,y,z'
'x,-y,z'
'x+1/2,y+1/2,z+1/2'
'-x+1/2,-y+1/2,z+1/2'
'-x+1/2,y+1/2,z+1/2'
'x+1/2,-y+1/2,z+1/2'
loop_
_atom_site_label
_atom_site_type_symbol
_atom_site_fract_x
_atom_site_fract_y
_atom_site_fract_z
Sc1 Sc 0.000 0.000 0.000
Sc2 Sc 0.000 0.500 0.230
Te1 Te 0.000 0.000 0.403
Se1 Se 0.000 0.500 0.655
```

# DyNpRuRh

Crystalline DyNpRuRh at its relaxed geometry (PBE, Alexandria via LeMat-Bulk).

The formation energy is -0.34 eV/atom. Its total energy is -8.8791 eV/atom.

The structure in CIF format:
```
data_DyNpRuRh
_space_group_name_H-M_alt 'F -4 3 m'
_space_group_IT_number 216
_space_group_name_Hall 'F -4 2 3'
_cell_length_a 6.798
_cell_length_b 6.798
_cell_length_c 6.798
_cell_angle_alpha 90.00
_cell_angle_beta 90.00
_cell_angle_gamma 90.00
loop_
_atom_site_label
_atom_site_type_symbol
_atom_site_fract_x
_atom_site_fract_y
_atom_site_fract_z
Dy1 Dy 0.000 0.000 0.000
Np1 Np 0.000 0.000 0.500
Ru1 Ru 0.250 0.250 0.750
Rh1 Rh 0.250 0.250 0.250
```